CrReNi2 | PBEsol | relaxed Values from VASP.

The structure in Quantum ESPRESSO input format:
```
&SYSTEM
  ibrav = 0, nat = 4, ntyp = 3
/
ATOMIC_SPECIES
Re 186.21 Re.upf
Ni 58.69 Ni.upf
Cr 52.00 Cr.upf
CELL_PARAMETERS angstrom
-1.460 -3.071 -0.862
3.184 -1.460 -0.192
-1.067 1.340 4.171
ATOMIC_POSITIONS angstrom
Re 0.000 0.000 0.000
Ni -0.833 -1.998 1.391
Ni 1.489 -1.193 1.726
Cr 0.862 -2.266 -0.527
```

Output
The value obtained for the density is 12.75 g/cm³. As for the space-group type: No. 139. The energy of formation is 2.6 kJ per mole of atoms. For the density of states at the Fermi level, the calculation gives 5.1 states/eV/f.u.